1.
First-principles (GGA-PBE) data for an optimized crystal structure of PmMg2SiRh2, as listed in the Alexandria database.

POSCAR file:
```
PmMg2SiRh2
1.0
4.531 0.000 0.000
0.000 4.531 0.000
0.000 0.000 6.008
Pm Mg Si Rh
1 2 1 2
direct
0.000 0.000 0.500
0.500 0.500 0.747
0.500 0.500 0.253
0.000 0.000 0.000
0.500 0.000 0.000
0.000 0.500 0.000
```

Results
Energy (eV/atom): -5.152

---

2.
First-principles (GGA-PBE) data for an optimized crystal structure of Pm2MgSn4Rh3, as listed in the Alexandria database.

POSCAR file:
```
Pm2MgSn4Rh3
1.0
4.453 0.000 0.000
0.000 4.453 0.000
0.000 0.000 11.309
Pm Mg Sn Rh
2 1 4 3
direct
0.500 0.000 0.238
0.000 0.500 0.762
0.500 0.500 0.500
0.500 0.500 0.000
0.000 0.000 0.000
0.500 0.000 0.645
0.000 0.500 0.355
0.000 0.000 0.500
0.500 0.000 0.873
0.000 0.500 0.127
```

Results
ΔH_f (0 K) (eV per atom): -0.6373

---

3.
First-principles (GGA-PBE) data for an optimized crystal structure of PmMg2SnRh4, as listed in the Alexandria database.

POSCAR file:
```
PmMg2SnRh4
1.0
4.590 0.000 0.000
2.295 3.975 0.000
2.295 1.325 7.557
Pm Mg Sn Rh
1 2 1 4
direct
0.000 0.000 0.000
0.752 0.752 0.744
0.248 0.248 0.256
0.500 0.500 0.500
0.382 0.382 0.855
0.871 0.871 0.387
0.129 0.129 0.613
0.618 0.618 0.145
```

Results
ΔH_f (0 K) (eV per atom): -0.6257

---

4.
First-principles (GGA-PBE) data for an optimized crystal structure of TbPmMgRh, as listed in the Alexandria database.

POSCAR file:
```
TbPmMgRh
1.0
-0.540 -4.874 -1.509
1.075 -1.321 -4.840
4.146 -2.843 -1.022
Rh Mg Tb Pm
1 1 1 1
direct
0.000 0.000 0.000
0.500 0.500 0.500
0.250 0.250 0.250
0.750 0.750 0.750
```

Results
ΔH_f (0 K) (eV per atom): -0.3563

---

5.
First-principles (GGA-PBE) data for an optimized crystal structure of PmMgTlRh, as listed in the Alexandria database.

POSCAR file:
```
PmMgTlRh
1.0
5.013 0.000 0.000
2.506 4.341 0.000
2.506 1.447 4.093
Tl Rh Mg Pm
1 1 1 1
direct
0.250 0.250 0.250
0.750 0.750 0.750
0.500 0.500 0.500
0.000 0.000 0.000
```

Results
ΔH_f (0 K) (eV per atom): -0.3168

---

6.
First-principles (GGA-PBE) data for an optimized crystal structure of PmTmMgRh, as listed in the Alexandria database.

POSCAR file:
```
PmTmMgRh
1.0
-4.254 2.372 -1.464
-4.401 -0.989 2.350
-2.120 3.509 3.010
Mg Tm Rh Pm
1 1 1 1
direct
0.000 0.000 0.000
0.750 0.750 0.750
0.500 0.500 0.500
0.250 0.250 0.250
```

Results
ΔH_f (0 K) (eV per atom): -0.3808

---

7.
First-principles (GGA-PBE) data for an optimized crystal structure of Pm2MgURh6, as listed in the Alexandria database.

POSCAR file:
```
Pm2MgURh6
1.0
5.806 0.033 0.021
-0.038 8.328 -1.735
2.868 2.874 4.133
Pm Mg U Rh
2 1 1 6
direct
0.210 0.632 0.580
0.790 0.368 0.420
0.000 0.000 0.000
0.500 0.500 0.000
0.232 0.727 0.022
0.746 0.727 0.022
0.254 0.273 0.492
0.768 0.273 0.978
0.254 0.273 0.978
0.746 0.727 0.508
```

Results
ΔH_f (0 K) (eV per atom): -0.3868

---

8.
First-principles (GGA-PBE) data for an optimized crystal structure of PmY2MgRh4, as listed in the Alexandria database.

POSCAR file:
```
PmY2MgRh4
1.0
4.785 0.000 0.000
2.393 4.144 0.000
2.393 1.381 7.848
Pm Y Mg Rh
1 2 1 4
direct
0.000 0.000 0.000
0.756 0.756 0.731
0.244 0.244 0.269
0.500 0.500 0.500
0.378 0.378 0.867
0.875 0.875 0.376
0.125 0.125 0.624
0.622 0.622 0.133
```

Results
ΔH_f (0 K) (eV per atom): -0.7273

---

9.
First-principles (GGA-PBE) data for an optimized crystal structure of Pm2MgZn2Rh5, as listed in the Alexandria database.

POSCAR file:
```
Pm2MgZn2Rh5
1.0
3.687 0.000 0.000
0.000 9.756 0.000
0.000 0.000 9.756
Pm Mg Zn Rh
4 2 4 10
direct
0.000 0.675 0.175
0.000 0.325 0.825
0.000 0.175 0.325
0.000 0.825 0.675
0.000 0.000 0.000
0.000 0.500 0.500
0.000 0.123 0.623
0.000 0.877 0.377
0.000 0.623 0.877
0.000 0.377 0.123
0.500 0.204 0.068
0.500 0.796 0.932
0.500 0.068 0.796
0.500 0.704 0.432
0.500 0.932 0.204
0.500 0.296 0.568
0.500 0.568 0.704
0.500 0.432 0.296
0.500 0.500 0.000
0.500 0.000 0.500
```

Results
ΔH_f (0 K) (eV per atom): -0.5308

---

10.
First-principles (GGA-PBE) data for an optimized crystal structure of Pm2Mg3Ru2, as listed in the Alexandria database.

POSCAR file:
```
Pm2Mg3Ru2
1.0
-1.839 -4.060 0.213
4.322 0.684 3.599
-5.118 2.526 3.983
Pm Mg Ru
2 3 2
direct
0.630 0.260 0.364
0.370 0.740 0.636
0.319 0.638 0.138
0.000 0.000 0.000
0.681 0.362 0.862
0.082 0.164 0.648
0.918 0.836 0.352
```

Results
ΔH_f (0 K) (eV per atom): -0.1728

---

11.
First-principles (GGA-PBE) data for an optimized crystal structure of Pm12MgRu6, as listed in the Alexandria database.

POSCAR file:
```
Pm12MgRu6
1.0
-1.957 8.548 0.566
-7.282 -4.421 -2.156
2.762 -2.784 7.864
Pm Mg Ru
12 1 6
direct
0.850 0.603 0.544
0.544 0.850 0.603
0.603 0.544 0.850
0.150 0.397 0.456
0.456 0.150 0.397
0.397 0.456 0.150
0.036 0.852 0.336
0.148 0.664 0.964
0.664 0.964 0.148
0.964 0.148 0.664
0.852 0.336 0.036
0.336 0.036 0.852
0.000 0.000 0.000
0.715 0.791 0.376
0.624 0.285 0.209
0.209 0.624 0.285
0.285 0.209 0.624
0.376 0.715 0.791
0.791 0.376 0.715
```

Results
ΔH_f (0 K) (eV per atom): -0.0913
Polymorph energy (0 for the lowest one) (meV per atom): 78

---

12.
First-principles (GGA-PBE) data for an optimized crystal structure of Pm4MgRu, as listed in the Alexandria database.

POSCAR file:
```
Pm4MgRu
1.0
6.257 -0.728 0.000
-2.513 9.107 0.000
-1.872 -4.190 6.512
Pm Mg Ru
8 2 2
direct
0.081 0.193 0.825
0.773 0.727 0.668
0.244 0.632 0.825
0.395 0.942 0.668
0.605 0.058 0.332
0.756 0.368 0.175
0.227 0.273 0.332
0.919 0.807 0.175
0.369 0.619 0.238
0.631 0.381 0.762
0.249 0.999 0.998
0.751 0.001 0.002
```

Results
ΔH_f (0 K) (eV per atom): -0.1245
Polymorph energy (0 for the lowest one) (meV per atom): 72

---

13.
First-principles (GGA-PBE) data for an optimized crystal structure of Pm6MgRu2, as listed in the Alexandria database.

POSCAR file:
```
Pm6MgRu2
1.0
8.190 -0.118 -3.005
-4.392 7.158 -2.364
-0.107 0.118 8.723
Pm Mg Ru
12 2 4
direct
0.533 0.715 0.817
0.467 0.285 0.183
0.102 0.285 0.817
0.898 0.715 0.183
0.796 0.762 0.558
0.204 0.238 0.442
0.204 0.762 0.966
0.796 0.238 0.034
0.685 0.361 0.676
0.315 0.639 0.324
0.315 0.990 0.676
0.685 0.010 0.324
0.000 0.500 0.500
0.000 0.000 0.000
0.500 0.376 0.876
0.500 0.624 0.124
0.685 0.000 0.685
0.315 0.000 0.315
```

Results
ΔH_f (0 K) (eV per atom): -0.1918
Polymorph energy (0 for the lowest one) (meV per atom): 0

---

14.
First-principles (GGA-PBE) data for an optimized crystal structure of Pm6MgRu2, as listed in the Alexandria database.

POSCAR file:
```
Pm6MgRu2
1.0
-2.829 -3.801 -2.196
5.770 -0.624 -0.143
1.354 -5.378 7.565
Pm Mg Ru
6 1 2
direct
0.961 0.922 0.849
0.709 0.418 0.165
0.291 0.582 0.835
0.659 0.318 0.620
0.341 0.682 0.380
0.039 0.078 0.151
0.000 0.000 0.500
0.613 0.226 0.904
0.387 0.774 0.096
```

Results
ΔH_f (0 K) (eV per atom): -0.1046
Polymorph energy (0 for the lowest one) (meV per atom): 87

---

15.
First-principles (GGA-PBE) data for an optimized crystal structure of Pm8MgRu2, as listed in the Alexandria database.

POSCAR file:
```
Pm8MgRu2
1.0
-1.100 -6.286 0.635
7.136 -1.146 -2.514
5.129 0.032 5.678
Pm Mg Ru
8 1 2
direct
0.821 0.141 0.566
0.179 0.434 0.859
0.583 0.131 0.131
0.417 0.869 0.869
0.821 0.566 0.141
0.179 0.859 0.434
0.316 0.380 0.380
0.684 0.620 0.620
0.000 0.000 0.000
0.013 0.216 0.216
0.987 0.784 0.784
```

Results
ΔH_f (0 K) (eV per atom): -0.0690

---

16.
First-principles (GGA-PBE) data for an optimized crystal structure of Pm3Mg2Ru, as listed in the Alexandria database.

POSCAR file:
```
Pm3Mg2Ru
1.0
0.381 3.582 -7.200
0.938 -2.885 -5.887
-8.210 -0.392 -1.881
Pm Mg Ru
6 4 2
direct
0.460 0.631 0.783
0.340 0.000 0.159
0.540 0.369 0.217
0.909 0.631 0.217
0.091 0.369 0.783
0.660 0.000 0.841
0.000 0.000 0.000
0.500 0.000 0.500
0.138 0.723 0.500
0.862 0.277 0.500
0.726 0.549 0.000
0.274 0.451 0.000
```

Results
ΔH_f (0 K) (eV per atom): -0.0197

---

17.
First-principles (GGA-PBE) data for an optimized crystal structure of PmMg4Ru, as listed in the Alexandria database.

POSCAR file:
```
PmMg4Ru
1.0
-1.637 3.237 2.446
-6.881 -2.133 -1.784
-0.145 -5.111 6.669
Pm Mg Ru
2 8 2
direct
0.000 0.591 0.750
0.000 0.409 0.250
0.000 0.000 0.500
0.000 0.000 0.000
0.500 0.966 0.750
0.500 0.034 0.250
0.500 0.695 0.065
0.500 0.305 0.935
0.500 0.695 0.435
0.500 0.305 0.565
0.000 0.223 0.750
0.000 0.777 0.250
```

Results
ΔH_f (0 K) (eV per atom): -0.1201

---

18.
First-principles (GGA-PBE) data for an optimized crystal structure of Pm12MgRu6, as listed in the Alexandria database.

POSCAR file:
```
Pm12MgRu6
1.0
8.271 0.000 -2.924
-4.136 7.163 -2.924
0.000 0.000 8.773
Pm Mg Ru
12 1 6
direct
0.300 0.102 0.802
0.300 0.498 0.198
0.700 0.502 0.802
0.700 0.898 0.198
0.102 0.802 0.300
0.498 0.198 0.300
0.502 0.802 0.700
0.898 0.198 0.700
0.802 0.300 0.102
0.198 0.300 0.498
0.802 0.700 0.502
0.198 0.700 0.898
0.000 0.000 0.000
0.379 0.500 0.879
0.621 0.500 0.121
0.500 0.879 0.379
0.500 0.121 0.621
0.879 0.379 0.500
0.121 0.621 0.500
```

Results
ΔH_f (0 K) (eV per atom): -0.1697
Polymorph energy (0 for the lowest one) (meV per atom): 0

---

19.
First-principles (GGA-PBE) data for an optimized crystal structure of Pm4Mg3Ru, as listed in the Alexandria database.

POSCAR file:
```
Pm4Mg3Ru
1.0
3.660 0.000 0.000
0.000 3.660 0.000
0.000 0.000 16.117
Ru Mg Pm
1 3 4
direct
0.500 0.500 0.000
0.500 0.500 0.243
0.500 0.500 0.500
0.500 0.500 0.757
0.000 0.000 0.898
0.000 0.000 0.102
0.000 0.000 0.373
0.000 0.000 0.627
```

Results
ΔH_f (0 K) (eV per atom): -0.1225

---

20.
First-principles (GGA-PBE) data for an optimized crystal structure of Pm8Mg3Ru2, as listed in the Alexandria database.

POSCAR file:
```
Pm8Mg3Ru2
1.0
3.810 -0.033 -0.238
-0.200 9.697 -4.540
0.068 -0.903 10.700
Pm Mg Ru
8 3 2
direct
0.264 0.572 0.144
0.736 0.428 0.856
0.197 0.166 0.332
0.803 0.834 0.668
0.268 0.120 0.648
0.268 0.529 0.648
0.732 0.471 0.352
0.732 0.880 0.352
0.500 0.000 0.000
0.000 0.774 0.000
0.000 0.226 0.000
0.748 0.280 0.560
0.252 0.720 0.440
```

Results
ΔH_f (0 K) (eV per atom): -0.0554